1.
VASP calculation (SCAN) on a PBEsol-optimized structure of Be2AlAg. Values from VASP.

```
&SYSTEM
  ibrav = 0, nat = 4, ntyp = 3
/
ATOMIC_SPECIES
Be 9.01 Be.upf
Al 26.98 Al.upf
Ag 107.87 Ag.upf
CELL_PARAMETERS angstrom
-0.085 -2.248 -1.570
2.833 1.582 -2.418
3.147 -1.848 2.478
ATOMIC_POSITIONS angstrom
Be 2.960 -3.748 1.016
Be 2.215 -1.689 -1.896
Al 3.955 -1.561 0.226
Ag 1.359 -1.661 0.506
```

Computed properties:
E_form = 100 meV/atom



2.
VASP calculation (SCAN) on a PBEsol-optimized structure of GaCI2N. Values from VASP.

```
&SYSTEM
  ibrav = 0, nat = 5, ntyp = 4
/
ATOMIC_SPECIES
I 126.90 I.upf
C 12.01 C.upf
Ga 69.72 Ga.upf
N 14.01 N.upf
CELL_PARAMETERS angstrom
3.531 0.000 0.000
0.000 5.688 0.000
0.000 0.000 5.688
ATOMIC_POSITIONS angstrom
I 0.000 0.000 2.844
I 0.000 2.844 0.000
C 1.765 2.844 2.844
Ga 0.000 0.000 0.000
N 1.765 0.000 0.000
```

Computed properties:
ΔE_f (raw) = 1.859 eV per atom



3.
VASP calculation (SCAN) on a PBEsol-optimized structure of AgGeP2O. Values from VASP.

```
&SYSTEM
  ibrav = 0, nat = 5, ntyp = 4
/
ATOMIC_SPECIES
P 30.97 P.upf
Ge 72.64 Ge.upf
O 16.00 O.upf
Ag 107.87 Ag.upf
CELL_PARAMETERS angstrom
3.462 0.000 0.000
0.000 4.862 0.000
0.000 0.000 4.862
ATOMIC_POSITIONS angstrom
P 0.000 0.000 2.431
P 0.000 2.431 0.000
Ge 0.000 0.000 0.000
O 1.731 0.000 0.000
Ag 1.731 2.431 2.431
```

Computed properties:
ΔE_f (raw) = 0.388 eV per atom



4.
VASP calculation (SCAN) on a PBEsol-optimized structure of SrIn2Br. Values from VASP.

```
&SYSTEM
  ibrav = 0, nat = 4, ntyp = 3
/
ATOMIC_SPECIES
Sr 87.62 Sr.upf
Br 79.90 Br.upf
In 114.82 In.upf
CELL_PARAMETERS angstrom
-0.570 3.203 -1.778
-4.295 -2.653 -3.402
-1.531 2.669 5.297
ATOMIC_POSITIONS angstrom
Sr -0.285 1.601 -0.889
Br -2.432 0.275 -2.590
In -2.913 0.008 0.948
In -0.765 1.334 2.649
```

Computed properties:
distance to the lowest polymorph of the same formula = 263.0 meV/atom
ΔE_f (raw) = -0.542 eV per atom



5.
VASP calculation (SCAN) on a PBEsol-optimized structure of KLaBe2Zn. Values from VASP.

```
&SYSTEM
  ibrav = 0, nat = 5, ntyp = 4
/
ATOMIC_SPECIES
Be 9.01 Be.upf
Zn 65.41 Zn.upf
K 39.10 K.upf
La 138.91 La.upf
CELL_PARAMETERS angstrom
4.512 0.000 0.000
0.000 4.512 0.000
0.000 0.000 5.507
ATOMIC_POSITIONS angstrom
Be 0.000 2.256 0.000
Be 2.256 0.000 0.000
Zn 0.000 0.000 0.000
K 2.256 2.256 2.753
La 0.000 0.000 2.753
```

Computed properties:
E_form = 656 meV/atom



6.
VASP calculation (SCAN) on a PBEsol-optimized structure of NaUF6. Values from VASP.

```
&SYSTEM
  ibrav = 0, nat = 8, ntyp = 3
/
ATOMIC_SPECIES
Na 22.99 Na.upf
U 238.03 U.upf
F 19.00 F.upf
CELL_PARAMETERS angstrom
-0.892 -5.355 -2.917
1.680 -5.288 2.683
-4.295 -3.931 2.020
ATOMIC_POSITIONS angstrom
Na -1.754 -7.287 0.893
U 0.000 0.000 0.000
F -1.302 -6.273 -1.107
F -2.206 -8.301 2.892
F -3.556 -8.336 -0.047
F 0.048 -6.238 1.832
F -0.420 -9.048 0.301
F -3.087 -5.526 1.484
```

Computed properties:
ΔE_f (raw) = -3.530 eV per atom



7.
VASP calculation (SCAN) on a PBEsol-optimized structure of Na3SrFe. Values from VASP.

```
&SYSTEM
  ibrav = 0, nat = 5, ntyp = 3
/
ATOMIC_SPECIES
Sr 87.62 Sr.upf
Fe 55.84 Fe.upf
Na 22.99 Na.upf
CELL_PARAMETERS angstrom
-4.033 2.783 -2.581
-3.399 -0.972 4.263
1.689 4.689 2.416
ATOMIC_POSITIONS angstrom
Sr -2.872 3.250 2.049
Fe 0.000 0.000 0.000
Na -1.700 -0.486 2.131
Na 0.844 2.344 1.208
Na -2.017 1.392 -1.291
```

Computed properties:
E_form = 616 meV/atom



8.
VASP calculation (SCAN) on a PBEsol-optimized structure of Ta5Sb4. Values from VASP.

```
&SYSTEM
  ibrav = 0, nat = 9, ntyp = 2
/
ATOMIC_SPECIES
Ta 180.95 Ta.upf
Sb 121.76 Sb.upf
CELL_PARAMETERS angstrom
-1.835 -0.656 -2.934
-2.925 -6.729 1.220
-6.750 2.744 1.493
ATOMIC_POSITIONS angstrom
Ta -5.568 -5.717 0.532
Ta -9.621 -2.470 0.226
Ta -1.889 -2.171 -0.447
Ta -5.943 1.075 -0.753
Ta 0.000 0.000 0.000
Sb -7.144 -3.481 1.018
Sb -7.850 -0.905 -1.232
Sb -3.661 -3.737 1.011
Sb -4.367 -1.160 -1.238
```

Computed properties:
ΔE_f (raw) = -0.197 eV per atom



Fermi-level density of states list, top to bottom, in states/eV/f.u.: 0.57, 4.34, 2.14, 2.19, 3.07, 0.00, 8.59, 3.08